! U4TcAs PBE optimized geometry; values from VASP
&SYSTEM
  ibrav = 0, nat = 12, ntyp = 3
/
ATOMIC_SPECIES
U 238.03 U.upf
Tc 98.00 Tc.upf
As 74.92 As.upf
CELL_PARAMETERS angstrom
5.2721 0.0000 0.0000
1.6928 5.0348 0.0000
0.8125 0.4870 8.7963
ATOMIC_POSITIONS crystal
U 0.0668 0.4460 0.3177
U 0.2783 0.7969 0.1964
U 0.3729 0.6819 0.8576
U 0.3863 0.0782 0.6455
U 0.6137 0.9218 0.3545
U 0.6271 0.3181 0.1424
U 0.7217 0.2031 0.8036
U 0.9332 0.5540 0.6823
Tc 0.0000 0.0000 0.5000
Tc 0.5000 0.5000 0.5000
As 0.1850 0.2265 0.9652
As 0.8150 0.7735 0.0348
! space-group type	P-1
! formation energy	-0.171	eV/atom
! DFT total energy	-10.199	eV/atom

=====

! UTcAs4 PBE optimized geometry; values from VASP
&SYSTEM
  ibrav = 0, nat = 12, ntyp = 3
/
ATOMIC_SPECIES
U 238.03 U.upf
Tc 98.00 Tc.upf
As 74.92 As.upf
CELL_PARAMETERS angstrom
6.6544 0.0000 0.0000
0.0000 6.7479 0.0000
-2.2321 0.0000 5.6998
ATOMIC_POSITIONS crystal
U 0.0000 0.0000 0.0000
U 0.0000 0.5000 0.5000
Tc 0.5000 0.0000 0.5000
Tc 0.5000 0.5000 0.0000
As 0.1452 0.1112 0.4975
As 0.1452 0.3888 0.9975
As 0.4407 0.6424 0.6024
As 0.4407 0.8576 0.1024
As 0.5593 0.1424 0.8976
As 0.5593 0.3576 0.3976
As 0.8548 0.6112 0.0025
As 0.8548 0.8888 0.5025
! space-group type	P2_1/c
! formation energy	-0.087	eV/atom
! DFT total energy	-6.796	eV/atom

=====

! UTcAs PBE optimized geometry; values from VASP
&SYSTEM
  ibrav = 0, nat = 12, ntyp = 3
/
ATOMIC_SPECIES
U 238.03 U.upf
Tc 98.00 Tc.upf
As 74.92 As.upf
CELL_PARAMETERS angstrom
8.2491 0.0000 0.0000
0.0000 5.2034 0.0000
0.0000 0.0000 4.7577
ATOMIC_POSITIONS crystal
U 0.0710 0.0162 0.2500
U 0.0710 0.4838 0.7500
U 0.9290 0.5162 0.2500
U 0.9290 0.9838 0.7500
Tc 0.4144 0.0742 0.2500
Tc 0.4144 0.4258 0.7500
Tc 0.5856 0.5742 0.2500
Tc 0.5856 0.9258 0.7500
As 0.2852 0.5379 0.2500
As 0.2852 0.9621 0.7500
As 0.7148 0.0379 0.2500
As 0.7148 0.4621 0.7500
! space-group type	Pbcm
! formation energy	-0.205	eV/atom
! DFT total energy	-8.973	eV/atom
! energy relative to the lowest polymorph listed for this composition	204	meV per atom

=====

! UTcAs2 PBE optimized geometry; values from VASP
&SYSTEM
  ibrav = 0, nat = 4, ntyp = 3
/
ATOMIC_SPECIES
U 238.03 U.upf
Tc 98.00 Tc.upf
As 74.92 As.upf
CELL_PARAMETERS angstrom
-1.7354 1.7354 6.7427
1.7354 -1.7354 6.7427
1.7354 1.7354 -6.7427
ATOMIC_POSITIONS crystal
U 0.0000 0.0000 0.0000
Tc 0.2500 0.7500 0.5000
As 0.3741 0.3741 0.0000
As 0.6259 0.6259 0.0000
! space-group type	I-4m2
! formation energy	-0.166	eV/atom
! DFT total energy	-7.904	eV/atom
! energy relative to the lowest polymorph listed for this composition	99	meV per atom

=====

! VTc3As PBE optimized geometry; values from VASP
&SYSTEM
  ibrav = 0, nat = 5, ntyp = 3
/
ATOMIC_SPECIES
V 50.94 V.upf
Tc 98.00 Tc.upf
As 74.92 As.upf
CELL_PARAMETERS angstrom
4.4906 0.0000 0.0000
0.0000 4.4906 0.0000
0.0000 0.0000 4.4906
ATOMIC_POSITIONS crystal
V 0.0000 0.0000 0.0000
Tc 0.0000 0.0000 0.5000
Tc 0.0000 0.5000 0.0000
Tc 0.5000 0.0000 0.0000
As 0.5000 0.5000 0.5000
! space-group type	Pm-3m
! formation energy	1.289	eV/atom
! DFT total energy	-7.684	eV/atom
! energy relative to the lowest polymorph listed for this composition	193	meV per atom

=====

! VTcAs2 PBE optimized geometry; values from VASP
&SYSTEM
  ibrav = 0, nat = 4, ntyp = 3
/
ATOMIC_SPECIES
V 50.94 V.upf
Tc 98.00 Tc.upf
As 74.92 As.upf
CELL_PARAMETERS angstrom
3.0612 0.0000 0.0000
0.0000 3.0612 0.0000
0.0000 0.0000 6.1710
ATOMIC_POSITIONS crystal
V 0.0000 0.0000 0.0000
Tc 0.0000 0.0000 0.5000
As 0.5000 0.5000 0.2463
As 0.5000 0.5000 0.7537
! space-group type	P4/mmm
! formation energy	-0.126	eV/atom
! DFT total energy	-7.322	eV/atom
! energy relative to the lowest polymorph listed for this composition	13	meV per atom

=====

! VTcAs3 PBE optimized geometry; values from VASP
&SYSTEM
  ibrav = 0, nat = 5, ntyp = 3
/
ATOMIC_SPECIES
V 50.94 V.upf
Tc 98.00 Tc.upf
As 74.92 As.upf
CELL_PARAMETERS angstrom
4.8099 0.0000 0.0000
0.0000 4.8099 0.0000
0.0000 0.0000 4.8099
ATOMIC_POSITIONS crystal
V 0.0000 0.0000 0.0000
Tc 0.5000 0.5000 0.5000
As 0.0000 0.5000 0.5000
As 0.5000 0.0000 0.5000
As 0.5000 0.5000 0.0000
! space-group type	Pm-3m
! formation energy	0.752	eV/atom
! DFT total energy	-5.934	eV/atom
! energy relative to the lowest polymorph listed for this composition	0	meV per atom

=====

! VTcAs2 PBE optimized geometry; values from VASP
&SYSTEM
  ibrav = 0, nat = 4, ntyp = 3
/
ATOMIC_SPECIES
V 50.94 V.upf
Tc 98.00 Tc.upf
As 74.92 As.upf
CELL_PARAMETERS angstrom
0.0000 3.0958 3.0958
3.0958 0.0000 3.0958
3.0958 3.0958 0.0000
ATOMIC_POSITIONS crystal
V 0.0000 0.0000 0.0000
Tc 0.5000 0.5000 0.5000
As 0.2500 0.2500 0.2500
As 0.7500 0.7500 0.7500
! space-group type	Fm-3m
! formation energy	-0.139	eV/atom
! DFT total energy	-7.335	eV/atom
! energy relative to the lowest polymorph listed for this composition	0	meV per atom

=====

! VTc2As2 PBE optimized geometry; values from VASP
&SYSTEM
  ibrav = 0, nat = 10, ntyp = 3
/
ATOMIC_SPECIES
V 50.94 V.upf
Tc 98.00 Tc.upf
As 74.92 As.upf
CELL_PARAMETERS angstrom
7.0704 0.0000 0.0000
0.0000 7.0704 0.0000
0.0000 0.0000 2.9924
ATOMIC_POSITIONS crystal
V 0.0000 0.0000 0.0000
V 0.5000 0.5000 0.0000
Tc 0.1440 0.3560 0.5000
Tc 0.3560 0.8560 0.5000
Tc 0.6440 0.1440 0.5000
Tc 0.8560 0.6440 0.5000
As 0.1569 0.6569 0.0000
As 0.3431 0.1569 0.0000
As 0.6569 0.8431 0.0000
As 0.8431 0.3431 0.0000
! space-group type	P4/mbm
! formation energy	0.055	eV/atom
! DFT total energy	-7.775	eV/atom

=====

! VTc3As PBE optimized geometry; values from VASP
&SYSTEM
  ibrav = 0, nat = 5, ntyp = 3
/
ATOMIC_SPECIES
V 50.94 V.upf
Tc 98.00 Tc.upf
As 74.92 As.upf
CELL_PARAMETERS angstrom
4.4965 0.0000 0.0000
0.0000 4.4965 0.0000
0.0000 0.0000 4.4965
ATOMIC_POSITIONS crystal
V 0.0000 0.0000 0.0000
Tc 0.0000 0.5000 0.5000
Tc 0.5000 0.0000 0.5000
Tc 0.5000 0.5000 0.0000
As 0.5000 0.5000 0.5000
! space-group type	Pm-3m
! formation energy	1.096	eV/atom
! DFT total energy	-7.878	eV/atom
! energy relative to the lowest polymorph listed for this composition	0	meV per atom

=====

! VTcAs2 PBE optimized geometry; values from VASP
&SYSTEM
  ibrav = 0, nat = 8, ntyp = 3
/
ATOMIC_SPECIES
V 50.94 V.upf
Tc 98.00 Tc.upf
As 74.92 As.upf
CELL_PARAMETERS angstrom
-2.5010 2.5010 6.6951
2.5010 -2.5010 6.6951
2.5010 2.5010 -6.6951
ATOMIC_POSITIONS crystal
V 0.0000 0.0000 0.0000
V 0.7500 0.2500 0.5000
Tc 0.2500 0.7500 0.5000
Tc 0.5000 0.5000 0.0000
As 0.1380 0.6250 0.0130
As 0.3750 0.3880 0.5130
As 0.6120 0.1250 0.9870
As 0.8750 0.8620 0.4870
! space-group type	I-42d
! formation energy	0.330	eV/atom
! DFT total energy	-6.866	eV/atom
! energy relative to the lowest polymorph listed for this composition	468	meV per atom

=====

! TcAsW3 PBE optimized geometry; values from VASP
&SYSTEM
  ibrav = 0, nat = 5, ntyp = 3
/
ATOMIC_SPECIES
Tc 98.00 Tc.upf
As 74.92 As.upf
W 183.84 W.upf
CELL_PARAMETERS angstrom
4.5356 0.0000 0.0000
0.0000 4.5356 0.0000
0.0000 0.0000 4.5356
ATOMIC_POSITIONS crystal
Tc 0.0000 0.0000 0.0000
As 0.5000 0.5000 0.5000
W 0.0000 0.5000 0.5000
W 0.5000 0.0000 0.5000
W 0.5000 0.5000 0.0000
! space-group type	Pm-3m
! formation energy	1.721	eV/atom
! DFT total energy	-9.054	eV/atom

=====

Copy entry 9 word for word.
! VTc2As2 PBE optimized geometry; values from VASP
&SYSTEM
  ibrav = 0, nat = 10, ntyp = 3
/
ATOMIC_SPECIES
V 50.94 V.upf
Tc 98.00 Tc.upf
As 74.92 As.upf
CELL_PARAMETERS angstrom
7.0704 0.0000 0.0000
0.0000 7.0704 0.0000
0.0000 0.0000 2.9924
ATOMIC_POSITIONS crystal
V 0.0000 0.0000 0.0000
V 0.5000 0.5000 0.0000
Tc 0.1440 0.3560 0.5000
Tc 0.3560 0.8560 0.5000
Tc 0.6440 0.1440 0.5000
Tc 0.8560 0.6440 0.5000
As 0.1569 0.6569 0.0000
As 0.3431 0.1569 0.0000
As 0.6569 0.8431 0.0000
As 0.8431 0.3431 0.0000
! space-group type	P4/mbm
! formation energy	0.055	eV/atom
! DFT total energy	-7.775	eV/atom

=====

Q: Which value of formation energy does entry 7 give?
A: 0.752 eV/atom